# CuIrPt2, optimized geometry, DFT PBE
# Size of the total moment   1.76 μB/cell
# D(E_F)   14.20 states/eV/cell
# Relative energy among the computed polymorphs   0.10 eV/f.u.
# Calculated formation energy   -0.0283 eV per atom
# E   -75.5 eV for the cell shown
data_CuIrPt2
_cell_length_a 2.7490
_cell_length_b 2.7490
_cell_length_c 26.7716
_cell_angle_alpha 90.00
_cell_angle_beta 90.00
_cell_angle_gamma 120.00
_space_group_name_H-M_alt 'R -3 m'
_space_group_IT_number 166
_space_group_name_Hall '-R 3 2"'
loop_
_atom_site_label
_atom_site_fract_x
_atom_site_fract_y
_atom_site_fract_z
Cu1 0.0000 0.0000 0.0000
Ir1 0.0000 0.0000 0.5000
Pt1 0.0000 0.0000 0.2528